First-principles (PBE) data for a geometry-optimized BaSn2Pt structure, as listed in the Alexandria database.

Cell lengths 5.286, 5.286, 5.286 Å; angles 60.00, 60.00, 60.00 degrees
Fractional coordinates of all 4 atoms:
Ba1 0.000 0.000 0.000
Pt1 0.500 0.500 0.500
Sn1 0.750 0.750 0.750
Sn2 0.250 0.250 0.250

Results
Fermi-level density of states: 0.81 states/eV/cell
Formation energy: -0.201 eV per atom
Space-group type: No. 225